# InNiB3, relaxed, DFT GGA-PBE
# - D(E_F): 0.5618 states/eV/atom
# - Total moment: 0.000 μB per atom
# - Energy above the lowest structure with this stoichiometry: 0 meV/atom
data_InNiB3
_cell_length_a 3.955
_cell_length_b 3.955
_cell_length_c 3.955
_cell_angle_alpha 90.00
_cell_angle_beta 90.00
_cell_angle_gamma 90.00
_symmetry_space_group_name_H-M 'P 1'
_symmetry_Int_Tables_number 1
loop_
_symmetry_equiv_pos_as_xyz
'x,y,z'
loop_
_atom_site_label
_atom_site_type_symbol
_atom_site_fract_x
_atom_site_fract_y
_atom_site_fract_z
Ni1 Ni 0.000 0.000 0.000
B1 B 0.000 0.500 0.000
B2 B 0.000 0.000 0.500
B3 B 0.500 0.000 0.000
In1 In 0.500 0.500 0.500